No. 1
Computed, not measured: AlAg2Ir2 after structural relaxation at the PBE-GGA level of DFT.

Results
DOS(E_F) = 0.987 states/eV per atom
Calculated formation energy = 0.618 eV/atom
Electronic total energy = -4.815 eV/atom

The structure in POSCAR format:
```
AlAg2Ir2
1.0
-1.6938 -5.5983 -5.4786
-2.9404 -4.7409 5.7535
-2.4964 1.1093 -0.3617
Ir Al Ag
4 2 4
direct
0.3870 0.1130 0.5000
0.6130 0.8870 0.5000
0.8870 0.3870 0.5000
0.1130 0.6130 0.5000
0.5000 0.5000 0.0000
0.0000 0.0000 0.0000
0.6837 0.1837 0.0000
0.8163 0.6837 0.0000
0.1837 0.3163 0.0000
0.3163 0.8163 0.0000
```

***

No. 2
Computed, not measured: AlAgIr2 after structural relaxation at the PBE-GGA level of DFT.

Results
DOS(E_F) = 1.367 states/eV per atom
Calculated formation energy = 0.368 eV/atom
Electronic total energy = -5.711 eV/atom

The structure in POSCAR format:
```
AlAgIr2
1.0
3.8628 0.0000 0.0000
0.0000 3.8628 0.0000
1.9314 1.9314 9.1789
Ir Ag Al
4 2 2
direct
0.1721 0.6250 0.2500
0.3750 0.4221 0.7500
0.5779 0.1250 0.2500
0.8750 0.8279 0.7500
0.0000 0.0000 0.0000
0.7500 0.2500 0.5000
0.5000 0.5000 0.0000
0.2500 0.7500 0.5000
```

***

No. 3
Computed, not measured: AlAgIr2 after structural relaxation at the PBE-GGA level of DFT.

Results
DOS(E_F) = 0.900 states/eV per atom
Calculated formation energy = -0.219 eV/atom
Electronic total energy = -6.298 eV/atom

The structure in POSCAR format:
```
AlAgIr2
1.0
-3.4186 -7.8557 -2.5762
-3.0858 -8.3954 0.1760
-5.4153 -7.0832 -0.7342
Ir Ag Al
2 1 1
direct
0.4908 0.4908 0.4908
0.0092 0.0092 0.0092
0.2500 0.2500 0.2500
0.7500 0.7500 0.7500
```

***

- Look up the DOS(E_F) of the second one.
  1.367 states/eV per atom

***

- What is the electronic total energy in the first record?
  -4.815 eV/atom

***

- Which of these has the highest DOS(E_F)?
  number 2

***

- What is the formula in the first record?
  AlAg2Ir2